Entry 1:
# Pm2PrNd6Th | Alexandria via LeMat-Bulk | PBE-GGA | relaxed
data_Pm2PrNd6Th
_chemical_formula_sum 'Pm8 Pr4 Nd24 Th4'
_cell_length_a 9.3000
_cell_length_b 15.1972
_cell_length_c 10.1172
_cell_angle_alpha 90.00
_cell_angle_beta 100.20
_cell_angle_gamma 90.00
_symmetry_space_group_name_H-M 'C 1 2/c 1'
_symmetry_Int_Tables_number 15
loop_
_symmetry_equiv_pos_as_xyz
'x,y,z'
'-x,-y,-z'
'-x,y,-z+1/2'
'x,-y,z+1/2'
'x+1/2,y+1/2,z'
'-x+1/2,-y+1/2,-z'
'-x+1/2,y+1/2,-z+1/2'
'x+1/2,-y+1/2,z+1/2'
loop_
_atom_site_label
_atom_site_fract_x
_atom_site_fract_y
_atom_site_fract_z
Pm1 0.2356 0.0449 0.0453
Pr1 0.0000 0.4037 0.2500
Nd1 0.0720 0.1809 0.4442
Nd2 0.0976 0.3973 0.6213
Nd3 0.2009 0.2195 0.8148
Th1 0.0000 0.0192 0.7500
# - Energy: -4.89 eV/atom



Entry 2:
# PmPrNd2Th | Alexandria via LeMat-Bulk | PBE-GGA | relaxed
data_PmPrNd2Th
_chemical_formula_sum 'Pm2 Pr2 Nd4 Th2'
_cell_length_a 6.4818
_cell_length_b 8.4945
_cell_length_c 6.7006
_cell_angle_alpha 90.00
_cell_angle_beta 103.80
_cell_angle_gamma 90.00
_symmetry_space_group_name_H-M 'P 1 2/c 1'
_symmetry_Int_Tables_number 13
loop_
_symmetry_equiv_pos_as_xyz
'x,y,z'
'-x,-y,-z'
'-x,y,-z+1/2'
'x,-y,z+1/2'
loop_
_atom_site_label
_atom_site_fract_x
_atom_site_fract_y
_atom_site_fract_z
Pm1 0.0000 0.1603 0.2500
Pr1 0.5000 0.4086 0.2500
Nd1 0.2838 0.1716 0.8393
Th1 0.0000 0.5000 0.0000
# - Energy: -5.06 eV/atom



Entry 3:
# PmPr2Nd5Th | Alexandria via LeMat-Bulk | PBE-GGA | relaxed
data_PmPr2Nd5Th
_chemical_formula_sum 'Pm4 Pr8 Nd20 Th4'
_cell_length_a 5.7990
_cell_length_b 20.7051
_cell_length_c 10.6805
_cell_angle_alpha 90.00
_cell_angle_beta 90.00
_cell_angle_gamma 90.00
_symmetry_space_group_name_H-M 'C m c 21'
_symmetry_Int_Tables_number 36
loop_
_symmetry_equiv_pos_as_xyz
'x,y,z'
'-x,-y,z+1/2'
'-x,y,z'
'x,-y,z+1/2'
'x+1/2,y+1/2,z'
'-x+1/2,-y+1/2,z+1/2'
'-x+1/2,y+1/2,z'
'x+1/2,-y+1/2,z+1/2'
loop_
_atom_site_label
_atom_site_fract_x
_atom_site_fract_y
_atom_site_fract_z
Pm1 0.0000 0.0918 0.0000
Pr1 0.0000 0.3837 0.2774
Pr2 0.0000 0.3839 0.8657
Nd1 0.0000 0.0196 0.2888
Nd2 0.0000 0.1124 0.5719
Nd3 0.0000 0.2050 0.2518
Nd4 0.0000 0.2242 0.8634
Nd5 0.0000 0.4840 0.5679
Th1 0.0000 0.3006 0.5597
# - Energy: -4.92 eV/atom



Entry 4:
# PmPr2Nd4Tl2 | Alexandria via LeMat-Bulk | PBE-GGA | relaxed
data_PmPr2Nd4Tl2
_chemical_formula_sum 'Pm1 Pr2 Nd4 Tl2'
_cell_length_a 6.5245
_cell_length_b 6.8616
_cell_length_c 8.4547
_cell_angle_alpha 66.43
_cell_angle_beta 79.41
_cell_angle_gamma 61.95
_symmetry_space_group_name_H-M 'P -1'
_symmetry_Int_Tables_number 2
loop_
_symmetry_equiv_pos_as_xyz
'x,y,z'
'-x,-y,-z'
loop_
_atom_site_label
_atom_site_fract_x
_atom_site_fract_y
_atom_site_fract_z
Pm1 0.0000 0.0000 0.0000
Pr1 0.1798 0.5190 0.8203
Nd1 0.3064 0.4728 0.3777
Nd2 0.4033 0.0218 0.2271
Tl1 0.1414 0.0515 0.5967
# - Energy: -4.32 eV/atom



Entry 5:
# Pm3Pr6Nd2Tl | Alexandria via LeMat-Bulk | PBE-GGA | relaxed
data_Pm3Pr6Nd2Tl
_chemical_formula_sum 'Pm6 Pr12 Nd4 Tl2'
_cell_length_a 6.3074
_cell_length_b 10.9672
_cell_length_c 12.0972
_cell_angle_alpha 90.00
_cell_angle_beta 100.25
_cell_angle_gamma 90.00
_symmetry_space_group_name_H-M 'C 1 2/m 1'
_symmetry_Int_Tables_number 12
loop_
_symmetry_equiv_pos_as_xyz
'x,y,z'
'-x,-y,-z'
'-x,y,-z'
'x,-y,z'
'x+1/2,y+1/2,z'
'-x+1/2,-y+1/2,-z'
'-x+1/2,y+1/2,-z'
'x+1/2,-y+1/2,z'
loop_
_atom_site_label
_atom_site_fract_x
_atom_site_fract_y
_atom_site_fract_z
Pm1 0.0000 0.0000 0.0000
Pm2 0.0000 0.3314 0.0000
Pr1 0.2426 0.5000 0.2507
Pr2 0.2448 0.3372 0.7475
Nd1 0.0000 0.1660 0.5000
Tl1 0.0000 0.5000 0.5000
# - Energy: -4.59 eV/atom



Entry 6:
# Pm6Pr3Nd2Tl | Alexandria via LeMat-Bulk | PBE-GGA | relaxed
data_Pm6Pr3Nd2Tl
_chemical_formula_sum 'Pm12 Pr6 Nd4 Tl2'
_cell_length_a 6.2772
_cell_length_b 10.8991
_cell_length_c 12.0456
_cell_angle_alpha 90.00
_cell_angle_beta 100.18
_cell_angle_gamma 90.00
_symmetry_space_group_name_H-M 'C 1 2/m 1'
_symmetry_Int_Tables_number 12
loop_
_symmetry_equiv_pos_as_xyz
'x,y,z'
'-x,-y,-z'
'-x,y,-z'
'x,-y,z'
'x+1/2,y+1/2,z'
'-x+1/2,-y+1/2,-z'
'-x+1/2,y+1/2,-z'
'x+1/2,-y+1/2,z'
loop_
_atom_site_label
_atom_site_fract_x
_atom_site_fract_y
_atom_site_fract_z
Pm1 0.2435 0.0000 0.2526
Pm2 0.2437 0.1627 0.7456
Pr1 0.0000 0.1689 0.0000
Pr2 0.0000 0.5000 0.0000
Nd1 0.0000 0.3338 0.5000
Tl1 0.0000 0.0000 0.5000
# - Energy: -4.59 eV/atom



Entry 7:
# Pm3Pr2Nd6Tl | Alexandria via LeMat-Bulk | PBE-GGA | relaxed
data_Pm3Pr2Nd6Tl
_chemical_formula_sum 'Pm6 Pr4 Nd12 Tl2'
_cell_length_a 6.2828
_cell_length_b 10.9110
_cell_length_c 12.0710
_cell_angle_alpha 90.00
_cell_angle_beta 100.17
_cell_angle_gamma 90.00
_symmetry_space_group_name_H-M 'C 1 2/m 1'
_symmetry_Int_Tables_number 12
loop_
_symmetry_equiv_pos_as_xyz
'x,y,z'
'-x,-y,-z'
'-x,y,-z'
'x,-y,z'
'x+1/2,y+1/2,z'
'-x+1/2,-y+1/2,-z'
'-x+1/2,y+1/2,-z'
'x+1/2,-y+1/2,z'
loop_
_atom_site_label
_atom_site_fract_x
_atom_site_fract_y
_atom_site_fract_z
Pm1 0.0000 0.0000 0.0000
Pm2 0.0000 0.3316 0.0000
Pr1 0.0000 0.1662 0.5000
Nd1 0.2421 0.5000 0.2502
Nd2 0.2451 0.3373 0.7482
Tl1 0.0000 0.5000 0.5000
# - Energy: -4.60 eV/atom



Entry 8:
# Pm2PrNdTl2 | Alexandria via LeMat-Bulk | PBE-GGA | relaxed
data_Pm2PrNdTl2
_chemical_formula_sum 'Pm4 Pr2 Nd2 Tl4'
_cell_length_a 5.2853
_cell_length_b 10.3360
_cell_length_c 6.9253
_cell_angle_alpha 90.00
_cell_angle_beta 90.00
_cell_angle_gamma 90.00
_symmetry_space_group_name_H-M 'P m c 21'
_symmetry_Int_Tables_number 26
loop_
_symmetry_equiv_pos_as_xyz
'x,y,z'
'-x,-y,z+1/2'
'-x,y,z'
'x,-y,z+1/2'
loop_
_atom_site_label
_atom_site_fract_x
_atom_site_fract_y
_atom_site_fract_z
Pm1 0.0000 0.0429 0.0000
Pm2 0.5000 0.1822 0.2734
Pr1 0.5000 0.4569 0.9064
Nd1 0.0000 0.3155 0.6373
Tl1 0.0000 0.3604 0.1655
Tl2 0.5000 0.1340 0.7450
# - Energy: -4.24 eV/atom



Entry 9:
# Pm2Pr6Nd3Tl | Alexandria via LeMat-Bulk | PBE-GGA | relaxed
data_Pm2Pr6Nd3Tl
_chemical_formula_sum 'Pm4 Pr12 Nd6 Tl2'
_cell_length_a 6.3141
_cell_length_b 10.9857
_cell_length_c 12.0931
_cell_angle_alpha 90.00
_cell_angle_beta 100.31
_cell_angle_gamma 90.00
_symmetry_space_group_name_H-M 'C 1 2/m 1'
_symmetry_Int_Tables_number 12
loop_
_symmetry_equiv_pos_as_xyz
'x,y,z'
'-x,-y,-z'
'-x,y,-z'
'x,-y,z'
'x+1/2,y+1/2,z'
'-x+1/2,-y+1/2,-z'
'-x+1/2,y+1/2,-z'
'x+1/2,-y+1/2,z'
loop_
_atom_site_label
_atom_site_fract_x
_atom_site_fract_y
_atom_site_fract_z
Pm1 0.0000 0.1659 0.0000
Pr1 0.2433 0.5000 0.7521
Pr2 0.2439 0.3373 0.2458
Nd1 0.0000 0.0000 0.5000
Nd2 0.0000 0.3309 0.5000
Tl1 0.0000 0.5000 0.0000
# - Energy: -4.59 eV/atom



Entry 10:
# PmPr2NdTl2 | Alexandria via LeMat-Bulk | PBE-GGA | relaxed
data_PmPr2NdTl2
_chemical_formula_sum 'Pm2 Pr4 Nd2 Tl4'
_cell_length_a 5.3033
_cell_length_b 10.3742
_cell_length_c 6.9461
_cell_angle_alpha 90.00
_cell_angle_beta 90.00
_cell_angle_gamma 90.00
_symmetry_space_group_name_H-M 'P m c 21'
_symmetry_Int_Tables_number 26
loop_
_symmetry_equiv_pos_as_xyz
'x,y,z'
'-x,-y,z+1/2'
'-x,y,z'
'x,-y,z+1/2'
loop_
_atom_site_label
_atom_site_fract_x
_atom_site_fract_y
_atom_site_fract_z
Pm1 0.0000 0.1836 0.0000
Pr1 0.0000 0.4560 0.3679
Pr2 0.5000 0.3167 0.6360
Nd1 0.5000 0.0431 0.2722
Tl1 0.0000 0.1328 0.5290
Tl2 0.5000 0.3597 0.1089
# - Energy: -4.24 eV/atom



Entry 11:
# Pm2PrNdTl4 | Alexandria via LeMat-Bulk | PBE-GGA | relaxed
data_Pm2PrNdTl4
_chemical_formula_sum 'Pm6 Pr3 Nd3 Tl12'
_cell_length_a 5.5128
_cell_length_b 5.5128
_cell_length_c 27.0320
_cell_angle_alpha 90.00
_cell_angle_beta 90.00
_cell_angle_gamma 120.00
_symmetry_space_group_name_H-M 'R -3 m'
_symmetry_Int_Tables_number 166
_symmetry_space_group_name_Hall '-R 3 2"'
loop_
_atom_site_label
_atom_site_fract_x
_atom_site_fract_y
_atom_site_fract_z
Pm1 0.0000 0.0000 0.2500
Pr1 0.0000 0.0000 0.0000
Nd1 0.0000 0.0000 0.5000
Tl1 0.0000 0.0000 0.1254
Tl2 0.0000 0.0000 0.3754
# - Energy: -3.95 eV/atom



Entry 12:
# Pm2Pr2Nd2Tl | Alexandria via LeMat-Bulk | PBE-GGA | relaxed
data_Pm2Pr2Nd2Tl
_chemical_formula_sum 'Pm4 Pr4 Nd4 Tl2'
_cell_length_a 17.6902
_cell_length_b 3.5816
_cell_length_c 8.3343
_cell_angle_alpha 90.00
_cell_angle_beta 116.09
_cell_angle_gamma 90.00
_symmetry_space_group_name_H-M 'C 1 2/m 1'
_symmetry_Int_Tables_number 12
loop_
_symmetry_equiv_pos_as_xyz
'x,y,z'
'-x,-y,-z'
'-x,y,-z'
'x,-y,z'
'x+1/2,y+1/2,z'
'-x+1/2,-y+1/2,-z'
'-x+1/2,y+1/2,-z'
'x+1/2,-y+1/2,z'
loop_
_atom_site_label
_atom_site_fract_x
_atom_site_fract_y
_atom_site_fract_z
Pm1 0.0666 0.0000 0.3837
Pr1 0.1407 0.0000 0.8947
Nd1 0.2234 0.5000 0.3033
Tl1 0.0000 0.5000 0.0000
# - Energy: -4.39 eV/atom



Entry 13:
# PmPr5NdTm2 | Alexandria via LeMat-Bulk | PBE-GGA | relaxed
data_PmPr5NdTm2
_chemical_formula_sum 'Pm4 Pr20 Nd4 Tm8'
_cell_length_a 5.7395
_cell_length_b 20.6610
_cell_length_c 10.7125
_cell_angle_alpha 90.00
_cell_angle_beta 90.00
_cell_angle_gamma 90.00
_symmetry_space_group_name_H-M 'C m c 21'
_symmetry_Int_Tables_number 36
loop_
_symmetry_equiv_pos_as_xyz
'x,y,z'
'-x,-y,z+1/2'
'-x,y,z'
'x,-y,z+1/2'
'x+1/2,y+1/2,z'
'-x+1/2,-y+1/2,z+1/2'
'-x+1/2,y+1/2,z'
'x+1/2,-y+1/2,z+1/2'
loop_
_atom_site_label
_atom_site_fract_x
_atom_site_fract_y
_atom_site_fract_z
Pm1 0.0000 0.1988 0.0000
Pr1 0.0000 0.0160 0.0112
Pr2 0.0000 0.2803 0.3004
Pr3 0.0000 0.2954 0.6935
Pr4 0.0000 0.3895 0.0158
Pr5 0.0000 0.4771 0.7308
Nd1 0.0000 0.4124 0.4390
Tm1 0.0000 0.1121 0.7251
Tm2 0.0000 0.1174 0.3100
# - Energy: -4.56 eV/atom



Entry 14:
# PmPrNd2Tm4 | Alexandria via LeMat-Bulk | PBE-GGA | relaxed
data_PmPrNd2Tm4
_chemical_formula_sum 'Pm4 Pr4 Nd8 Tm16'
_cell_length_a 6.7831
_cell_length_b 11.9025
_cell_length_c 13.2350
_cell_angle_alpha 90.00
_cell_angle_beta 90.00
_cell_angle_gamma 90.00
_symmetry_space_group_name_H-M 'I m m a'
_symmetry_Int_Tables_number 74
_symmetry_space_group_name_Hall '-I 2b 2'
loop_
_atom_site_label
_atom_site_fract_x
_atom_site_fract_y
_atom_site_fract_z
Pm1 0.2500 0.2500 0.2500
Pr1 0.0000 0.0000 0.0000
Nd1 0.0000 0.0000 0.5000
Nd2 0.2500 0.2500 0.7500
Tm1 0.0000 0.0006 0.2499
Tm2 0.2500 0.2500 0.0006
# - Energy: -4.21 eV/atom



Entry 15:
# Pm3Pr2NdTm6 | Alexandria via LeMat-Bulk | PBE-GGA | relaxed
data_Pm3Pr2NdTm6
_chemical_formula_sum 'Pm6 Pr4 Nd2 Tm12'
_cell_length_a 6.2259
_cell_length_b 10.7791
_cell_length_c 11.7261
_cell_angle_alpha 90.00
_cell_angle_beta 100.16
_cell_angle_gamma 90.00
_symmetry_space_group_name_H-M 'C 1 2/m 1'
_symmetry_Int_Tables_number 12
loop_
_symmetry_equiv_pos_as_xyz
'x,y,z'
'-x,-y,-z'
'-x,y,-z'
'x,-y,z'
'x+1/2,y+1/2,z'
'-x+1/2,-y+1/2,-z'
'-x+1/2,y+1/2,-z'
'x+1/2,-y+1/2,z'
loop_
_atom_site_label
_atom_site_fract_x
_atom_site_fract_y
_atom_site_fract_z
Pm1 0.0000 0.0000 0.0000
Pm2 0.0000 0.3333 0.0000
Pr1 0.0000 0.1666 0.5000
Nd1 0.0000 0.5000 0.5000
Tm1 0.2494 0.1666 0.2487
Tm2 0.2491 0.5000 0.2486
# - Energy: -4.60 eV/atom



Entry 16:
# PmPr2Nd2Tm | Alexandria via LeMat-Bulk | PBE-GGA | relaxed
data_PmPr2Nd2Tm
_chemical_formula_sum 'Pm2 Pr4 Nd4 Tm2'
_cell_length_a 7.1324
_cell_length_b 5.7746
_cell_length_c 9.9881
_cell_angle_alpha 90.00
_cell_angle_beta 90.00
_cell_angle_gamma 90.00
_symmetry_space_group_name_H-M 'P m m a'
_symmetry_Int_Tables_number 51
loop_
_symmetry_equiv_pos_as_xyz
'x,y,z'
'-x,-y,-z'
'-x+1/2,-y,z'
'x+1/2,y,-z'
'x+1/2,-y,-z'
'-x+1/2,y,z'
'-x,y,-z'
'x,-y,z'
loop_
_atom_site_label
_atom_site_fract_x
_atom_site_fract_y
_atom_site_fract_z
Pm1 0.2500 0.0000 0.1585
Pr1 0.0000 0.0000 0.5000
Pr2 0.2500 0.5000 0.6763
Nd1 0.2500 0.0000 0.8325
Nd2 0.2500 0.5000 0.3350
Tm1 0.0000 0.5000 0.0000
# - Energy: -4.66 eV/atom



Entry 17:
# Pm3PrNd6Tm2 | Alexandria via LeMat-Bulk | PBE-GGA | relaxed
data_Pm3PrNd6Tm2
_chemical_formula_sum 'Pm6 Pr2 Nd12 Tm4'
_cell_length_a 6.3198
_cell_length_b 10.9457
_cell_length_c 12.0530
_cell_angle_alpha 90.00
_cell_angle_beta 100.08
_cell_angle_gamma 90.00
_symmetry_space_group_name_H-M 'C 1 2/m 1'
_symmetry_Int_Tables_number 12
loop_
_symmetry_equiv_pos_as_xyz
'x,y,z'
'-x,-y,-z'
'-x,y,-z'
'x,-y,z'
'x+1/2,y+1/2,z'
'-x+1/2,-y+1/2,-z'
'-x+1/2,y+1/2,-z'
'x+1/2,-y+1/2,z'
loop_
_atom_site_label
_atom_site_fract_x
_atom_site_fract_y
_atom_site_fract_z
Pm1 0.0000 0.0000 0.0000
Pm2 0.0000 0.3331 0.0000
Pr1 0.0000 0.5000 0.5000
Nd1 0.2484 0.0000 0.7476
Nd2 0.2495 0.1674 0.2522
Tm1 0.0000 0.1666 0.5000
# - Energy: -4.70 eV/atom



Entry 18:
# Pm4Pr2Nd2Tm | Alexandria via LeMat-Bulk | PBE-GGA | relaxed
data_Pm4Pr2Nd2Tm
_chemical_formula_sum 'Pm8 Pr4 Nd4 Tm2'
_cell_length_a 19.0921
_cell_length_b 3.6850
_cell_length_c 9.8115
_cell_angle_alpha 90.00
_cell_angle_beta 115.53
_cell_angle_gamma 90.00
_symmetry_space_group_name_H-M 'C 1 2/m 1'
_symmetry_Int_Tables_number 12
loop_
_symmetry_equiv_pos_as_xyz
'x,y,z'
'-x,-y,-z'
'-x,y,-z'
'x,-y,z'
'x+1/2,y+1/2,z'
'-x+1/2,-y+1/2,-z'
'-x+1/2,y+1/2,-z'
'x+1/2,-y+1/2,z'
loop_
_atom_site_label
_atom_site_fract_x
_atom_site_fract_y
_atom_site_fract_z
Pm1 0.0183 0.0000 0.3286
Pm2 0.1850 0.5000 0.3331
Pr1 0.1646 0.0000 0.9998
Nd1 0.1470 0.5000 0.6658
Tm1 0.0000 0.5000 0.0000
# - Energy: -4.72 eV/atom



Entry 19:
# Pm2PrNdTm5 | Alexandria via LeMat-Bulk | PBE-GGA | relaxed
data_Pm2PrNdTm5
_chemical_formula_sum 'Pm8 Pr4 Nd4 Tm20'
_cell_length_a 8.7071
_cell_length_b 8.7071
_cell_length_c 15.3938
_cell_angle_alpha 90.00
_cell_angle_beta 90.00
_cell_angle_gamma 90.00
_symmetry_space_group_name_H-M 'I 4/m c m'
_symmetry_Int_Tables_number 140
_symmetry_space_group_name_Hall '-I 4 2c'
loop_
_atom_site_label
_atom_site_fract_x
_atom_site_fract_y
_atom_site_fract_z
Pm1 0.1166 0.3834 0.0000
Pr1 0.0000 0.0000 0.2500
Nd1 0.0000 0.5000 0.2500
Tm1 0.0000 0.0000 0.0000
Tm2 0.2088 0.2912 0.3641
# - Energy: -4.35 eV/atom



Entry 20:
# PmPr4Nd2Tm | Alexandria via LeMat-Bulk | PBE-GGA | relaxed
data_PmPr4Nd2Tm
_chemical_formula_sum 'Pm1 Pr4 Nd2 Tm1'
_cell_length_a 5.1860
_cell_length_b 5.2090
_cell_length_c 10.3467
_cell_angle_alpha 90.00
_cell_angle_beta 90.06
_cell_angle_gamma 90.00
_symmetry_space_group_name_H-M 'P 1 2/m 1'
_symmetry_Int_Tables_number 10
loop_
_symmetry_equiv_pos_as_xyz
'x,y,z'
'-x,-y,-z'
'-x,y,-z'
'x,-y,z'
loop_
_atom_site_label
_atom_site_fract_x
_atom_site_fract_y
_atom_site_fract_z
Pm1 0.0000 0.0000 0.0000
Pr1 0.0003 0.5000 0.2530
Pr2 0.5001 0.0000 0.2522
Nd1 0.0000 0.0000 0.5000
Nd2 0.5000 0.5000 0.0000
Tm1 0.5000 0.5000 0.5000
# - Energy: -4.72 eV/atom



| no. | formation enthalpy at 0 K (eV per atom) | density of states at the Fermi level (states/eV per cell) |
| --- | --- | --- |
| 1 | 0.141 | 60.11 |
| 2 | 0.238 | 17.76 |
| 3 | 0.148 | 50.10 |
| 4 | -0.089 | 10.87 |
| 5 | -0.026 | 31.26 |
| 6 | -0.026 | 32.03 |
| 7 | -0.030 | 31.64 |
| 8 | -0.274 | 14.31 |
| 9 | -0.022 | 31.49 |
| 10 | -0.274 | 14.53 |
| 11 | -0.388 | 18.72 |
| 12 | 0.032 | 18.96 |
| 13 | 0.147 | 55.91 |
| 14 | 0.408 | 75.41 |
| 15 | 0.016 | 24.13 |
| 16 | 0.057 | 18.59 |
| 17 | 0.016 | 33.12 |
| 18 | 0.013 | 23.54 |
| 19 | 0.250 | 37.95 |
| 20 | 0.013 | 11.70 |